Entry 1:
Cu2Ag | PBE-GGA | optimized geometry

Summary:
- SG: C2/m (12)
- Electronic total energy: -3.3340 eV/atom
- Excess energy over the best structure of this formula in the dataset: 0.040 eV/atom

```
data_Cu2Ag
_space_group_name_H-M_alt 'P 1'
_space_group_IT_number 1
_space_group_name_Hall 'P 1'
_cell_length_a 7.109
_cell_length_b 7.109
_cell_length_c 6.562
_cell_angle_alpha 91.36
_cell_angle_beta 91.36
_cell_angle_gamma 22.25
loop_
_atom_site_label
_atom_site_type_symbol
_atom_site_fract_x
_atom_site_fract_y
_atom_site_fract_z
_atom_site_occupancy
Cu1 Cu 0.620 0.620 0.689 1
Cu2 Cu 0.269 0.269 0.665 1
Ag1 Ag 0.066 0.066 0.350 1
Cu3 Cu 0.380 0.380 0.311 1
Cu4 Cu 0.731 0.731 0.335 1
Ag2 Ag 0.934 0.934 0.650 1
Ag3 Ag 0.500 0.500 0.000 1
Cu5 Cu 0.175 0.175 0.006 1
Cu6 Cu 0.825 0.825 0.994 1
```


Entry 2:
SrHgSeO | PBE-GGA | optimized geometry

Summary:
- SG: P4/nmm (129)
- Electronic total energy: -3.5889 eV/atom
- Excess energy over the best structure of this formula in the dataset: 0.420 eV/atom

```
data_SrHgSeO
_space_group_name_H-M_alt 'P 1'
_space_group_IT_number 1
_space_group_name_Hall 'P 1'
_cell_length_a 5.124
_cell_length_b 5.124
_cell_length_c 7.880
_cell_angle_alpha 90.00
_cell_angle_beta 90.00
_cell_angle_gamma 90.00
loop_
_atom_site_label
_atom_site_type_symbol
_atom_site_fract_x
_atom_site_fract_y
_atom_site_fract_z
_atom_site_occupancy
O1 O 0.750 0.750 0.085 1
Hg1 Hg 0.250 0.250 0.648 1
O2 O 0.250 0.250 0.915 1
Hg2 Hg 0.750 0.750 0.352 1
Se1 Se 0.750 0.250 0.500 1
Sr1 Sr 0.250 0.250 0.191 1
Se2 Se 0.250 0.750 0.500 1
Sr2 Sr 0.750 0.750 0.809 1
```


Entry 3:
SiNiPt | PBE-GGA | optimized geometry

Summary:
- Spin magnetization: 0.00 μB per atom
- SG: F-43m (216)
- Electronic total energy: -6.2944 eV/atom

```
data_SiNiPt
_space_group_name_H-M_alt 'P 1'
_space_group_IT_number 1
_space_group_name_Hall 'P 1'
_cell_length_a 3.919
_cell_length_b 3.919
_cell_length_c 3.919
_cell_angle_alpha 60.00
_cell_angle_beta 60.00
_cell_angle_gamma 60.00
loop_
_atom_site_label
_atom_site_type_symbol
_atom_site_fract_x
_atom_site_fract_y
_atom_site_fract_z
_atom_site_occupancy
Ni1 Ni 0.250 0.250 0.250 1
Pt1 Pt 0.750 0.750 0.750 1
Si1 Si 0.000 0.000 0.000 1
```


Entry 4:
KScIrSe3 | PBE-GGA | optimized geometry

Summary:
- Spin magnetization: 0.00 μB per atom
- SG: P2_1/m (11)
- Electronic total energy: -5.4586 eV/atom
- Excess energy over the best structure of this formula in the dataset: 0.000 eV/atom

```
data_KScIrSe3
_space_group_name_H-M_alt 'P 1'
_space_group_IT_number 1
_space_group_name_Hall 'P 1'
_cell_length_a 8.932
_cell_length_b 3.861
_cell_length_c 9.689
_cell_angle_alpha 90.00
_cell_angle_beta 109.02
_cell_angle_gamma 90.00
loop_
_atom_site_label
_atom_site_type_symbol
_atom_site_fract_x
_atom_site_fract_y
_atom_site_fract_z
_atom_site_occupancy
Se1 Se 0.244 0.750 0.942 1
Se2 Se 0.946 0.250 0.648 1
Sc1 Sc 0.844 0.250 0.355 1
Se3 Se 0.624 0.750 0.340 1
Ir1 Ir 0.418 0.250 0.929 1
Se4 Se 0.756 0.250 0.058 1
K1 K 0.298 0.250 0.258 1
Ir2 Ir 0.582 0.750 0.071 1
Se5 Se 0.054 0.750 0.352 1
Sc2 Sc 0.156 0.750 0.645 1
K2 K 0.702 0.750 0.742 1
Se6 Se 0.376 0.250 0.660 1
```


What is the electronic total energy in the fourth record?
-5.4586 eV/atom


Repeat the first record exactly.
Cu2Ag | PBE-GGA | optimized geometry

Summary:
- SG: C2/m (12)
- Electronic total energy: -3.3340 eV/atom
- Excess energy over the best structure of this formula in the dataset: 0.040 eV/atom

```
data_Cu2Ag
_space_group_name_H-M_alt 'P 1'
_space_group_IT_number 1
_space_group_name_Hall 'P 1'
_cell_length_a 7.109
_cell_length_b 7.109
_cell_length_c 6.562
_cell_angle_alpha 91.36
_cell_angle_beta 91.36
_cell_angle_gamma 22.25
loop_
_atom_site_label
_atom_site_type_symbol
_atom_site_fract_x
_atom_site_fract_y
_atom_site_fract_z
_atom_site_occupancy
Cu1 Cu 0.620 0.620 0.689 1
Cu2 Cu 0.269 0.269 0.665 1
Ag1 Ag 0.066 0.066 0.350 1
Cu3 Cu 0.380 0.380 0.311 1
Cu4 Cu 0.731 0.731 0.335 1
Ag2 Ag 0.934 0.934 0.650 1
Ag3 Ag 0.500 0.500 0.000 1
Cu5 Cu 0.175 0.175 0.006 1
Cu6 Cu 0.825 0.825 0.994 1
```